(1)
IrPb3: relaxed, PBE-GGA.

Unit cell a=3.4684 b=3.3114 c=8.9024 alpha=90.00 beta=90.98 gamma=90.00
Space group P2/m (No. 10)
Unique sites:
Ir (0.0000, 0.0000, 0.0000) [1 per cell]
Pb (0.0000, 0.0000, 0.5000) [1 per cell]
Pb (0.4940, 0.5000, 0.8057) [2 per cell]

Computed properties:
V (Å³ per atom): 25.558
Energy above the most stable polymorph in this dataset (eV per formula unit): 0.034
Total energy (eV per cell): -19.03
Density (g/cm3): 13.22

***

(2)
IrPb5: relaxed, PBE-GGA.

Unit cell a=5.2596 b=4.1850 c=15.2257 alpha=90.00 beta=90.00 gamma=90.00
Space group Amm2 (No. 38)
Unique sites:
Ir (0.0000, 0.0000, 0.0000) [2 per cell]
Pb (0.0000, 0.0000, 0.3736) [2 per cell]
Pb (0.0000, 0.0000, 0.6442) [2 per cell]
Pb (0.5000, 0.0000, 0.2040) [2 per cell]
Pb (0.5000, 0.0000, 0.5284) [2 per cell]
Pb (0.5000, 0.0000, 0.8752) [2 per cell]

Computed properties:
V (Å³ per atom): 27.928
Energy above the most stable polymorph in this dataset (eV per formula unit): 0.639
Total energy (eV per cell): -51.83
Density (g/cm3): 12.17

***

(3)
Ir3Pb5: relaxed, PBE-GGA.

Unit cell a=6.1970 b=7.2383 c=8.8770 alpha=89.52 beta=78.54 gamma=79.71
Space group P-1 (No. 2)
Unique sites:
Ir (0.0302, 0.1684, 0.0313) [2 per cell]
Ir (0.2178, 0.9893, 0.5211) [2 per cell]
Ir (0.3919, 0.4849, 0.2605) [2 per cell]
Pb (0.0010, 0.3134, 0.3386) [2 per cell]
Pb (0.1343, 0.8353, 0.2412) [2 per cell]
Pb (0.2639, 0.4558, 0.9668) [2 per cell]
Pb (0.4024, 0.9089, 0.8072) [2 per cell]
Pb (0.4076, 0.3047, 0.5538) [2 per cell]

Computed properties:
V (Å³ per atom): 23.989
Energy above the most stable polymorph in this dataset (eV per formula unit): 0.000
Total energy (eV per cell): -86.11
Density (g/cm3): 13.95